Here is a geometry-optimized Sr2YSc structure from the Alexandria database. Energies are from PBE.

```
Sr2YSc
1.0
-7.007 0.986 -1.393
-2.146 -0.173 -6.883
3.017 -3.459 5.563
Sc Sr Y
1 2 1
direct
0.264 0.764 0.500
0.022 0.022 0.000
0.742 0.242 0.500
0.471 0.471 0.000
```

Computed properties:
* energy of formation: 27 kJ/mol of atoms
* N(E_F): 1.390 states/eV/atom

=====

Here is a geometry-optimized LiZrAsPd structure from the Alexandria database. Energies are from PBE.

```
LiZrAsPd
1.0
4.585 0.000 0.000
2.293 3.971 0.000
2.293 1.324 3.744
As Zr Pd Li
1 1 1 1
direct
0.250 0.250 0.250
0.500 0.500 0.500
0.750 0.750 0.750
0.000 0.000 0.000
```

Computed properties:
* energy of formation: -65 kJ/mol of atoms
* N(E_F): 0.451 states/eV/atom

=====

Here is a geometry-optimized Tb2PmDy6Tm3 structure from the Alexandria database. Energies are from PBE.

```
Tb2PmDy6Tm3
1.0
-2.711 -5.494 0.152
2.091 2.234 -5.310
10.438 -3.913 3.639
Tb Pm Dy Tm
2 1 6 3
direct
0.333 0.667 0.000
0.667 0.333 0.000
0.000 0.000 0.000
0.915 0.582 0.747
0.751 0.751 0.253
0.085 0.418 0.253
0.582 0.915 0.747
0.249 0.249 0.747
0.418 0.085 0.253
0.167 0.833 0.500
0.833 0.167 0.500
0.500 0.500 0.500
```

Computed properties:
* energy of formation: 2 kJ/mol of atoms
* N(E_F): 1.312 states/eV/atom

=====

Here is a geometry-optimized Na6GeF12 structure from the Alexandria database. Energies are from PBE.

```
Na6GeF12
1.0
6.495 0.013 0.016
-0.971 6.422 0.016
-0.971 -1.132 6.321
Na Ge F
6 1 12
direct
0.712 0.849 0.395
0.605 0.288 0.151
0.151 0.605 0.288
0.288 0.151 0.605
0.395 0.712 0.849
0.849 0.395 0.712
0.000 0.000 0.000
0.838 0.540 0.411
0.411 0.838 0.540
0.540 0.411 0.838
0.162 0.460 0.589
0.589 0.162 0.460
0.460 0.589 0.162
0.053 0.989 0.283
0.011 0.717 0.947
0.717 0.947 0.011
0.947 0.011 0.717
0.989 0.283 0.053
0.283 0.053 0.989
```

Computed properties:
* E_form (uncorrected): -232 kJ per mole of atoms
* N(E_F): 0.408 states/eV/atom

=====

Here is a geometry-optimized RbSrBeCl5 structure from the Alexandria database. Energies are from PBE.

```
RbSrBeCl5
1.0
7.563 0.070 -0.072
-2.141 7.254 -0.072
-2.341 -3.162 9.331
Rb Sr Be Cl
2 2 2 10
direct
0.354 0.646 0.250
0.646 0.354 0.750
0.000 0.000 0.500
0.000 0.000 0.000
0.689 0.311 0.250
0.311 0.689 0.750
0.095 0.905 0.250
0.905 0.095 0.750
0.894 0.325 0.148
0.106 0.675 0.852
0.675 0.106 0.352
0.325 0.894 0.648
0.753 0.575 0.405
0.247 0.425 0.595
0.425 0.247 0.095
0.575 0.753 0.905
```

Computed properties:
* E_form (uncorrected): -188 kJ per mole of atoms
* N(E_F): 0.000 states/eV/atom